Record 1
VASP calculation (PBE) on a relaxed CsKHF crystal.

Properties
Crystal system = orthorhombic
Fermi-level density of states = 0.000 states/eV/f.u.
Total DFT energy (no corrections) = -25.4 eV/cell
Polymorph energy (0 for the lowest one) = 0.00 eV per formula unit

Geometry as CIF:
```
data_CsKHF
_cell_length_a 6.000
_cell_length_b 4.913
_cell_length_c 8.564
_cell_angle_alpha 90.00
_cell_angle_beta 90.00
_cell_angle_gamma 90.00
_symmetry_space_group_name_H-M 'A m m 2'
_symmetry_Int_Tables_number 38
_symmetry_space_group_name_Hall 'A 2 -2'
loop_
_atom_site_label
_atom_site_type_symbol
_atom_site_fract_x
_atom_site_fract_y
_atom_site_fract_z
_atom_site_occupancy
Cs1 Cs 0.000 0.000 0.000 1
K1 K 0.500 0.000 0.331 1
H1 H 0.500 0.000 0.998 1
F1 F 0.000 0.000 0.332 1
```

***

Record 2
VASP calculation (PBE) on a relaxed PuTh2CrN5 crystal.

Properties
Crystal system = tetragonal
Fermi-level density of states = 8.836 states/eV/f.u.
Total DFT energy (no corrections) = -364.5 eV/cell

Geometry as CIF:
```
data_PuTh2CrN5
_cell_length_a 6.755
_cell_length_b 6.755
_cell_length_c 11.184
_cell_angle_alpha 90.00
_cell_angle_beta 90.00
_cell_angle_gamma 90.00
_symmetry_space_group_name_H-M 'I 4/m c m'
_symmetry_Int_Tables_number 140
_symmetry_space_group_name_Hall '-I 4 2c'
loop_
_atom_site_label
_atom_site_type_symbol
_atom_site_fract_x
_atom_site_fract_y
_atom_site_fract_z
_atom_site_occupancy
Pu1 Pu 0.000 0.000 0.250 1
Th1 Th 0.175 0.325 0.000 1
Cr1 Cr 0.000 0.500 0.250 1
N1 N 0.000 0.000 0.000 1
N2 N 0.145 0.355 0.352 1
```

***

Record 3
VASP calculation (PBE) on a relaxed MgMnNi2 crystal.

Properties
Crystal system = cubic
Fermi-level density of states = 3.597 states/eV/f.u.
Total DFT energy (no corrections) = -88.2 eV/cell
E_form = 0.070 eV per atom

Geometry as CIF:
```
data_MgMnNi2
_cell_length_a 5.945
_cell_length_b 5.945
_cell_length_c 5.945
_cell_angle_alpha 90.00
_cell_angle_beta 90.00
_cell_angle_gamma 90.00
_symmetry_space_group_name_H-M 'F -4 3 m'
_symmetry_Int_Tables_number 216
_symmetry_space_group_name_Hall 'F -4 2 3'
loop_
_atom_site_label
_atom_site_type_symbol
_atom_site_fract_x
_atom_site_fract_y
_atom_site_fract_z
_atom_site_occupancy
Mg1 Mg 0.000 0.000 0.000 1
Mn1 Mn 0.250 0.250 0.750 1
Ni1 Ni 0.000 0.000 0.500 1
Ni2 Ni 0.250 0.250 0.250 1
```